(1)
MnB4 | GGA-PBE | optimized geometry

Unit cell a=3.840 b=3.840 c=3.840 alpha=134.78 beta=105.86 gamma=91.28
Fractional positions:
Mn: 0.000 0.000 0.000
B: 0.138 0.341 0.797
B: 0.456 0.659 0.797
B: 0.544 0.341 0.203
B: 0.862 0.659 0.203

The space group is Immm (71). The value obtained for the formation energy is -268 meV/atom. The crystal system is orthorhombic. For the energy above the most stable polymorph in this dataset, the calculation gives 18.6 meV/atom.

(2)
CaRe2Mo | GGA-PBE | optimized geometry

Unit cell a=5.473 b=5.473 c=5.473 alpha=146.96 beta=128.13 gamma=62.88
Fractional positions:
Ca: 0.000 0.000 0.000
Re: 0.503 0.503 0.000
Re: 0.727 0.227 0.500
Mo: 0.273 0.773 0.500

The space group is Imm2 (44). The value obtained for the formation energy is 572 meV/atom. The crystal system is orthorhombic. For the energy above the most stable polymorph in this dataset, the calculation gives 108.0 meV/atom.

(3)
MgBe2BPd | GGA-PBE | optimized geometry

Unit cell a=4.367 b=4.367 c=4.028 alpha=90.00 beta=90.00 gamma=90.00
Fractional positions:
Mg: 0.000 0.000 0.000
Be: 0.000 0.500 0.000
Be: 0.500 0.000 0.000
B: 0.000 0.000 0.500
Pd: 0.500 0.500 0.500

The space group is P4/mmm (123). The value obtained for the formation energy is 1676 meV/atom. The crystal system is tetragonal.

(4)
Rb2BaBi2 | GGA-PBE | optimized geometry

Unit cell a=9.053 b=9.053 c=6.010 alpha=90.00 beta=90.00 gamma=90.00
Fractional positions:
Rb: 0.159 0.341 0.000
Rb: 0.341 0.841 0.000
Rb: 0.659 0.159 0.000
Rb: 0.841 0.659 0.000
Ba: 0.000 0.000 0.500
Ba: 0.500 0.500 0.500
Bi: 0.122 0.622 0.500
Bi: 0.378 0.122 0.500
Bi: 0.622 0.878 0.500
Bi: 0.878 0.378 0.500

The space group is P4/mbm (127). The value obtained for the formation energy is -425 meV/atom. The crystal system is tetragonal. For the energy above the most stable polymorph in this dataset, the calculation gives 0.0 meV/atom.

(5)
Be3VAg | GGA-PBE | optimized geometry

Unit cell a=4.218 b=4.218 c=4.218 alpha=90.00 beta=90.00 gamma=90.00
Fractional positions:
Be: 0.000 0.000 0.500
Be: 0.000 0.500 0.000
Be: 0.500 0.000 0.000
V: 0.500 0.500 0.500
Ag: 0.000 0.000 0.000

The space group is Pm-3m (221). The value obtained for the formation energy is 1011 meV/atom. The crystal system is cubic. For the energy above the most stable polymorph in this dataset, the calculation gives 0.0 meV/atom.

(6)
Pu3Be2Ge3 | GGA-PBE | optimized geometry

Unit cell a=5.745 b=5.745 c=14.921 alpha=90.00 beta=90.00 gamma=140.84
Fractional positions:
Pu: 0.038 0.962 0.750
Pu: 0.360 0.640 0.599
Pu: 0.360 0.640 0.901
Pu: 0.640 0.360 0.099
Pu: 0.640 0.360 0.401
Pu: 0.962 0.038 0.250
Be: 0.359 0.641 0.123
Be: 0.359 0.641 0.377
Be: 0.641 0.359 0.623
Be: 0.641 0.359 0.877
Ge: 0.089 0.911 0.556
Ge: 0.089 0.911 0.944
Ge: 0.236 0.764 0.250
Ge: 0.764 0.236 0.750
Ge: 0.911 0.089 0.056
Ge: 0.911 0.089 0.444

The space group is Cmcm (63). The value obtained for the formation energy is -268 meV/atom. The crystal system is orthorhombic.

(7)
CePmPu2Sb4 | GGA-PBE | optimized geometry

Unit cell a=7.710 b=4.471 c=7.734 alpha=90.00 beta=109.56 gamma=90.00
Fractional positions:
Ce: 0.000 0.000 0.000
Pm: 0.000 0.500 0.500
Pu: 0.500 0.000 0.500
Pu: 0.500 0.500 0.000
Sb: 0.254 0.500 0.250
Sb: 0.255 0.000 0.753
Sb: 0.745 0.000 0.247
Sb: 0.746 0.500 0.750

The uncorrected formation energy comes out at -0.86 eV/atom. The space group is P2/m (10). The crystal system is monoclinic.

(8)
CaTa2Re | GGA-PBE | optimized geometry

Unit cell a=9.953 b=9.953 c=9.953 alpha=17.86 beta=17.86 gamma=17.86
Fractional positions:
Ca: 0.000 0.000 0.000
Ta: 0.236 0.236 0.236
Ta: 0.764 0.764 0.764
Re: 0.500 0.500 0.500

The space group is R-3m (166). The value obtained for the formation energy is 513 meV/atom. The crystal system is trigonal. For the energy above the most stable polymorph in this dataset, the calculation gives 155.4 meV/atom.

(9)
Y2ErPb | GGA-PBE | optimized geometry

Unit cell a=12.163 b=12.163 c=12.163 alpha=16.73 beta=16.73 gamma=16.73
Fractional positions:
Y: 0.088 0.088 0.088
Y: 0.912 0.912 0.912
Er: 0.500 0.500 0.500
Pb: 0.000 0.000 0.000

The space group is R-3m (166). The value obtained for the formation energy is 46 meV/atom. The crystal system is trigonal. For the energy above the most stable polymorph in this dataset, the calculation gives 318.1 meV/atom.

(10)
LiCePd4 | GGA-PBE | optimized geometry

Unit cell a=5.369 b=5.369 c=5.369 alpha=60.00 beta=60.00 gamma=60.00
Fractional positions:
Li: 0.000 0.000 0.000
Ce: 0.250 0.250 0.250
Pd: 0.124 0.625 0.625
Pd: 0.625 0.124 0.625
Pd: 0.625 0.625 0.124
Pd: 0.625 0.625 0.625

The space group is F-43m (216). The value obtained for the formation energy is -575 meV/atom. The crystal system is cubic. For the energy above the most stable polymorph in this dataset, the calculation gives 54.9 meV/atom.

(11)
LiSc2Zn | GGA-PBE | optimized geometry

Unit cell a=11.169 b=11.169 c=11.169 alpha=15.77 beta=15.77 gamma=15.77
Fractional positions:
Li: 0.000 0.000 0.000
Sc: 0.412 0.412 0.412
Sc: 0.588 0.588 0.588
Zn: 0.500 0.500 0.500

The space group is R-3m (166). The value obtained for the formation energy is 343 meV/atom. The crystal system is trigonal.

(12)
CuHg2PbO4 | GGA-PBE | optimized geometry

Unit cell a=5.443 b=5.443 c=5.443 alpha=114.12 beta=114.12 gamma=100.52
Fractional positions:
Cu: 0.000 0.000 0.000
Hg: 0.500 0.500 0.000
Hg: 0.750 0.250 0.500
Pb: 0.250 0.750 0.500
O: 0.158 0.704 0.929
O: 0.296 0.225 0.454
O: 0.771 0.842 0.546
O: 0.775 0.229 0.071

The uncorrected formation energy comes out at -0.41 eV/atom. The space group is I-4 (82). The crystal system is tetragonal.

(13)
LaMgCuIr | GGA-PBE | optimized geometry

Unit cell a=4.850 b=4.850 c=4.850 alpha=60.00 beta=60.00 gamma=60.00
Fractional positions:
La: 0.000 0.000 0.000
Mg: 0.500 0.500 0.500
Cu: 0.750 0.750 0.750
Ir: 0.250 0.250 0.250

The space group is F-43m (216). The value obtained for the formation energy is -270 meV/atom. The crystal system is cubic.

(14)
PuZnSnRh | GGA-PBE | optimized geometry

Unit cell a=4.796 b=4.796 c=4.796 alpha=60.00 beta=60.00 gamma=60.00
Fractional positions:
Pu: 0.000 0.000 0.000
Zn: 0.750 0.750 0.750
Sn: 0.500 0.500 0.500
Rh: 0.250 0.250 0.250

The space group is F-43m (216). The value obtained for the formation energy is -311 meV/atom. The crystal system is cubic.

(15)
BaZr2Cu | GGA-PBE | optimized geometry

Unit cell a=6.463 b=6.463 c=5.405 alpha=113.51 beta=113.51 gamma=29.52
Fractional positions:
Ba: 0.000 0.000 0.000
Zr: 0.208 0.208 0.701
Zr: 0.792 0.792 0.299
Cu: 0.500 0.500 0.500

The space group is C2/m (12). The value obtained for the formation energy is 309 meV/atom. The crystal system is monoclinic. For the energy above the most stable polymorph in this dataset, the calculation gives 165.8 meV/atom.

(16)
Ce2Si3Ni4Ge | GGA-PBE | optimized geometry

Unit cell a=4.060 b=4.060 c=9.503 alpha=90.00 beta=90.00 gamma=90.00
Fractional positions:
Ce: 0.000 0.500 0.245
Ce: 0.500 0.000 0.755
Si: 0.000 0.500 0.874
Si: 0.500 0.000 0.126
Si: 0.500 0.500 0.500
Ni: 0.000 0.000 0.000
Ni: 0.000 0.500 0.629
Ni: 0.500 0.000 0.371
Ni: 0.500 0.500 0.000
Ge: 0.000 0.000 0.500

The uncorrected formation energy comes out at -0.78 eV/atom. The space group is P-4m2 (115). The crystal system is tetragonal.

(17)
Nd4SnIr | GGA-PBE | optimized geometry

Unit cell a=10.001 b=10.001 c=10.001 alpha=60.00 beta=60.00 gamma=60.00
Fractional positions:
Nd: 0.049 0.650 0.650
Nd: 0.056 0.056 0.444
Nd: 0.056 0.444 0.056
Nd: 0.056 0.444 0.444
Nd: 0.193 0.193 0.807
Nd: 0.193 0.807 0.193
Nd: 0.193 0.807 0.807
Nd: 0.444 0.056 0.056
Nd: 0.444 0.056 0.444
Nd: 0.444 0.444 0.056
Nd: 0.650 0.049 0.650
Nd: 0.650 0.650 0.049
Nd: 0.650 0.650 0.650
Nd: 0.807 0.193 0.193
Nd: 0.807 0.193 0.807
Nd: 0.807 0.807 0.193
Sn: 0.412 0.412 0.412
Sn: 0.412 0.412 0.763
Sn: 0.412 0.763 0.412
Sn: 0.763 0.412 0.412
Ir: 0.425 0.858 0.858
Ir: 0.858 0.425 0.858
Ir: 0.858 0.858 0.425
Ir: 0.858 0.858 0.858

The space group is F-43m (216). The value obtained for the formation energy is -550 meV/atom. The crystal system is cubic. For the energy above the most stable polymorph in this dataset, the calculation gives 0.0 meV/atom.

(18)
Pr3As4Pd7 | GGA-PBE | optimized geometry

Unit cell a=8.321 b=8.321 c=9.735 alpha=124.68 beta=124.68 gamma=29.44
Fractional positions:
Pr: 0.000 0.000 0.000
Pr: 0.321 0.321 0.327
Pr: 0.679 0.679 0.673
As: 0.107 0.107 0.823
As: 0.338 0.338 0.738
As: 0.662 0.662 0.262
As: 0.893 0.893 0.177
Pd: 0.000 0.000 0.500
Pd: 0.160 0.160 0.418
Pd: 0.306 0.306 0.972
Pd: 0.491 0.491 0.714
Pd: 0.509 0.509 0.286
Pd: 0.694 0.694 0.028
Pd: 0.840 0.840 0.582

The space group is C2/m (12). The value obtained for the formation energy is -903 meV/atom. The crystal system is monoclinic.

(19)
ZrTe2P | GGA-PBE | optimized geometry

Unit cell a=4.779 b=4.779 c=6.761 alpha=92.78 beta=92.78 gamma=46.37
Fractional positions:
Zr: 0.000 0.000 0.000
Te: 0.485 0.485 0.664
Te: 0.697 0.697 0.264
P: 0.295 0.295 0.940

The uncorrected formation energy comes out at -0.52 eV/atom. The space group is Cm (8). The crystal system is monoclinic. For the energy above the most stable polymorph in this dataset, the calculation gives 34.0 meV/atom.

(20)
TaFePCl2 | GGA-PBE | optimized geometry

Unit cell a=4.760 b=4.760 c=4.996 alpha=90.00 beta=90.00 gamma=90.00
Fractional positions:
Ta: 0.000 0.000 0.000
Fe: 0.500 0.500 0.500
P: 0.000 0.000 0.500
Cl: 0.000 0.500 0.000
Cl: 0.500 0.000 0.000

The uncorrected formation energy comes out at 0.37 eV/atom. The space group is P4/mmm (123). The crystal system is tetragonal. For the energy above the most stable polymorph in this dataset, the calculation gives 0.0 meV/atom.

Record-wise total moment values, in Bohr magnetons per cell: 0.54; 0.00; 0.00; 0.00; 2.70; 11.36; 10.96; 0.00; 0.00; 0.83; 0.00; 0.00; 0.00; 4.87; 0.00; 0.00; 0.00; 0.00; 0.00; 3.64
Record-wise DFT total energy values, in eV for the cell shown: -37.221; -35.440; -12.539; -27.490; -18.093; -132.889; -62.724; -36.104; -21.016; -32.070; -14.479; -31.500; -20.557; -28.202; -21.877; -63.705; -140.952; -81.934; -22.328; -27.587